Sr2ReW: relaxed, PBE.

a b c (Å): 5.715 5.715 5.587
angles (deg): 86.61 86.61 28.77
Atoms (fractional coordinates):
Re: 0.250 0.250 0.250
Sr: 0.000 0.000 0.003
Sr: 0.500 0.500 0.497
W: 0.750 0.750 0.750

Computed properties:
Its polymorph energy (0 for the lowest one) is 946 meV per atom. For the energy of formation, the calculation gives 1.4703 eV per atom. For the total DFT energy (no corrections), the calculation gives -22.88 eV per cell.

---

RbP2RuO: relaxed, PBE.

a b c (Å): 5.209 5.209 4.129
angles (deg): 90.00 90.00 90.00
Atoms (fractional coordinates):
Ru: 0.500 0.500 0.500
O: 0.000 0.000 0.500
Rb: 0.000 0.000 0.000
P: 0.000 0.500 0.000
P: 0.500 0.000 0.000

Computed properties:
Its polymorph energy (0 for the lowest one) is 2075 meV per atom. For the total DFT energy (no corrections), the calculation gives -14.89 eV per cell.

---

DyHfSc2P4: relaxed, PBE.

a b c (Å): 3.801 6.591 6.555
angles (deg): 109.32 90.00 90.00
Atoms (fractional coordinates):
Dy: 0.500 0.500 0.000
Hf: 0.000 0.000 0.000
Sc: 0.500 0.000 0.500
Sc: 0.000 0.500 0.500
P: 0.500 0.242 0.252
P: 0.500 0.758 0.748
P: 0.000 0.238 0.741
P: 0.000 0.762 0.259

Computed properties:
For the energy of formation, the calculation gives -1.4745 eV per atom. For the total DFT energy (no corrections), the calculation gives -60.65 eV per cell.

---

Pm6Ho6Tm: relaxed, PBE.

a b c (Å): 6.715 6.714 11.356
angles (deg): 90.00 90.00 119.98
Atoms (fractional coordinates):
Pm: 0.000 0.000 0.658
Pm: 0.000 0.000 0.342
Pm: 0.333 0.667 0.000
Pm: 0.667 0.333 0.000
Pm: 0.333 0.667 0.500
Pm: 0.667 0.333 0.500
Ho: 0.000 0.500 0.754
Ho: 0.500 0.000 0.754
Ho: 0.500 0.500 0.754
Ho: 0.500 0.000 0.246
Ho: 0.000 0.500 0.246
Ho: 0.500 0.500 0.246
Tm: 0.000 0.000 0.000

Computed properties:
For the energy of formation, the calculation gives 0.2839 eV per atom. For the total DFT energy (no corrections), the calculation gives -56.75 eV per cell.

---

LaTm3H: relaxed, PBE.

a b c (Å): 4.991 4.991 4.991
angles (deg): 90.00 90.00 90.00
Atoms (fractional coordinates):
H: 0.000 0.000 0.000
Tm: 0.000 0.500 0.000
Tm: 0.000 0.000 0.500
Tm: 0.500 0.000 0.000
La: 0.500 0.500 0.500

Computed properties:
For the total DFT energy (no corrections), the calculation gives -22.42 eV per cell.

---

TaCrSb2: relaxed, PBE.

a b c (Å): 3.526 3.476 7.127
angles (deg): 68.01 90.00 90.00
Atoms (fractional coordinates):
Cr: 0.500 0.750 0.750
Sb: 0.000 0.941 0.008
Sb: 0.000 0.559 0.492
Ta: 0.500 0.250 0.250

Computed properties:
Its polymorph energy (0 for the lowest one) is 221 meV per atom. For the total DFT energy (no corrections), the calculation gives -28.54 eV per cell.

---

In the order shown, the computed DOS(E_F) values come out to 3.0; 6.9; 1.4; 27.5; 4.8; 2.5 states/eV/f.u..